A relaxed structure of ZrGa2Co, computed with PBE-GGA.

- Symmetry: P4/mmm (123)
- E_tot: -23.22 eV per formula unit
- ρ: 7.79 g/cm³

Cell: 3.0239 3.0239 6.7491 Å, 90.00 90.00 90.00°
Element x y z (fractional)
1 Ga 0.0000 0.0000 0.7984
2 Ga 0.0000 0.0000 0.2016
3 Co 0.5000 0.5000 0.0000
4 Zr 0.5000 0.5000 0.5000



A relaxed structure of SbOsCl2, computed with PBE-GGA.

- Raw formation energy: 0.475 eV/atom
- Symmetry: Cmm2 (35)
- E_tot: -17.15 eV per formula unit
- ΔE to the lowest computed polymorph: 452 meV per atom
- ρ: 7.52 g/cm³

Cell: 3.2359 3.2359 9.6004 Å, 90.00 90.00 122.78°
Element x y z (fractional)
1 Cl 0.5000 0.5000 0.3025
2 Cl 0.0000 0.0000 0.9724
3 Os 0.0000 0.0000 0.4863
4 Sb 0.5000 0.5000 0.7388



A relaxed structure of CuRuRh2, computed with PBE-GGA.

- Symmetry: R3m (160)
- E_tot: -27.59 eV per formula unit
- ΔE to the lowest computed polymorph: 92 meV per atom
- ρ: 11.14 g/cm³

Cell: 8.8289 8.8289 8.8289 Å, 17.65 17.65 17.65°
Element x y z (fractional)
1 Rh 0.2483 0.2483 0.2483
2 Rh 0.0015 0.0015 0.0015
3 Ru 0.4999 0.4999 0.4999
4 Cu 0.7503 0.7503 0.7503